# 1
A plane-wave DFT calculation with PBEsol was carried out for crystalline CuRePb2 at its relaxed geometry.

Calculated values
Distance to the lowest polymorph of the same formula = 0.295 eV per atom
Total magnetization = 0.00 μB per formula unit
Calculated formation energy = 357 kJ/mol of formula units
E = -5.49 eV per atom

Unit cell a=4.410 b=4.410 c=4.984 alpha=116.26 beta=116.26 gamma=90.00
Element x y z (fractional)
Re  0.500  0.000  0.000
Pb  0.750  0.750  0.500
Cu  0.000  0.500  0.000
Pb  0.250  0.250  0.500

---

# 2
A plane-wave DFT calculation with PBEsol was carried out for crystalline Sr2GdCu2RuO8 at its relaxed geometry.

Calculated values
Distance to the lowest polymorph of the same formula = 0.015 eV per atom
Energy relative to the elements, uncorrected = -26.78 eV per formula unit
Total magnetization = 6.97 μB per formula unit
E = -7.55 eV per atom

Unit cell a=3.795 b=3.795 c=11.579 alpha=90.00 beta=90.00 gamma=90.00
Element x y z (fractional)
O  0.000  0.500  0.373
O  0.500  0.000  0.000
Cu  0.000  0.000  0.358
Sr  0.500  0.500  0.194
O  0.000  0.000  0.828
Ru  0.000  0.000  0.000
O  0.000  0.500  0.000
Cu  0.000  0.000  0.642
O  0.500  0.000  0.373
O  0.000  0.500  0.627
O  0.500  0.000  0.627
Gd  0.500  0.500  0.500
O  0.000  0.000  0.172
Sr  0.500  0.500  0.806

---

# 3
A plane-wave DFT calculation with PBEsol was carried out for crystalline IrPtRh at its relaxed geometry.

Calculated values
Distance to the lowest polymorph of the same formula = 0.008 eV per atom
Total magnetization = 0.00 μB per formula unit
Calculated formation energy = 5 kJ/mol of formula units
E = -8.29 eV per atom

Unit cell a=2.718 b=3.834 c=4.699 alpha=114.07 beta=106.81 gamma=90.00
Element x y z (fractional)
Rh  0.664  0.664  0.329
Ir  0.002  0.002  0.004
Pt  0.334  0.334  0.667

---

> What is the E in the first record?

-5.49 eV per atom